No. 1
{"formula": "YTm2Hg2", "functional": "PBE", "state": "optimized geometry", "lattice": [[3.680, 0.000, -0.494], [0.000, 5.251, 0.000], [-0.053, 0.000, 13.620]], "species": ["Y", "Y", "Tm", "Tm", "Tm", "Tm", "Hg", "Hg", "Hg", "Hg"], "frac_coords": [[0.853, 0.750, 0.707], [0.147, 0.250, 0.293], [0.047, 0.750, 0.095], [0.953, 0.250, 0.905], [0.236, 0.750, 0.472], [0.764, 0.250, 0.528], [0.644, 0.750, 0.289], [0.356, 0.250, 0.711], [0.454, 0.750, 0.907], [0.546, 0.250, 0.093]], "m_tot_mub_per_fu": 0.0, "formation_enthalpy_0k_ev_per_atom": -0.3974, "dos_at_fermi_per_ev_cell": 8.13}


No. 2
{"formula": "YTm2Hg8", "functional": "PBE", "state": "optimized geometry", "lattice": [[-0.897, 3.140, 3.898], [-7.692, -1.221, -0.786], [4.687, -6.225, 2.777]], "species": ["Y", "Tm", "Tm", "Hg", "Hg", "Hg", "Hg", "Hg", "Hg", "Hg", "Hg"], "frac_coords": [[0.500, 0.000, 0.000], [0.201, 0.701, 0.403], [0.799, 0.299, 0.597], [0.645, 0.848, 0.290], [0.355, 0.558, 0.710], [0.152, 0.152, 0.304], [0.000, 0.297, 0.000], [0.848, 0.848, 0.696], [0.645, 0.442, 0.290], [0.355, 0.152, 0.710], [0.000, 0.703, 0.000]], "m_tot_mub_per_fu": 0.0, "formation_enthalpy_0k_ev_per_atom": -0.2847, "dos_at_fermi_per_ev_cell": 5.11}


No. 3
{"formula": "YTmHg", "functional": "PBE", "state": "optimized geometry", "lattice": [[-0.759, -4.500, 2.148], [8.445, 0.233, 3.474], [-2.493, 3.210, 5.844]], "species": ["Y", "Y", "Y", "Y", "Tm", "Tm", "Tm", "Tm", "Hg", "Hg", "Hg", "Hg"], "frac_coords": [[0.250, 0.807, 0.483], [0.750, 0.307, 0.017], [0.250, 0.693, 0.983], [0.750, 0.193, 0.517], [0.750, 0.926, 0.166], [0.750, 0.574, 0.666], [0.250, 0.074, 0.834], [0.250, 0.426, 0.334], [0.750, 0.602, 0.243], [0.750, 0.898, 0.743], [0.250, 0.102, 0.257], [0.250, 0.398, 0.757]], "m_tot_mub_per_fu": 0.0, "formation_enthalpy_0k_ev_per_atom": -0.3866, "dos_at_fermi_per_ev_cell": 4.38}


No. 4
{"formula": "Y9Tm4Hg11", "functional": "PBE", "state": "optimized geometry", "lattice": [[-1.588, -2.530, -1.913], [11.296, -1.307, -7.645], [0.577, -8.486, 10.743]], "species": ["Y", "Y", "Y", "Y", "Y", "Y", "Y", "Y", "Y", "Tm", "Tm", "Tm", "Tm", "Hg", "Hg", "Hg", "Hg", "Hg", "Hg", "Hg", "Hg", "Hg", "Hg", "Hg"], "frac_coords": [[0.500, 0.624, 0.147], [0.500, 0.376, 0.853], [0.500, 0.147, 0.624], [0.500, 0.853, 0.376], [0.500, 0.796, 0.971], [0.500, 0.204, 0.029], [0.500, 0.971, 0.796], [0.500, 0.029, 0.204], [0.500, 0.500, 0.500], [0.500, 0.571, 0.748], [0.500, 0.429, 0.252], [0.500, 0.748, 0.571], [0.500, 0.252, 0.429], [0.000, 0.587, 0.942], [0.000, 0.413, 0.058], [0.000, 0.942, 0.587], [0.000, 0.058, 0.413], [0.000, 0.630, 0.370], [0.000, 0.370, 0.630], [0.000, 0.826, 0.174], [0.000, 0.174, 0.826], [0.000, 0.000, 0.000], [0.000, 0.764, 0.764], [0.000, 0.236, 0.236]], "m_tot_mub_per_fu": 2.0, "formation_enthalpy_0k_ev_per_atom": -0.3879, "dos_at_fermi_per_ev_cell": 22.29}


No. 5
{"formula": "YTmHg2", "functional": "PBE", "state": "optimized geometry", "lattice": [[3.692, 0.000, 0.000], [0.000, 3.692, 0.000], [0.000, 0.000, 7.440]], "species": ["Y", "Tm", "Hg", "Hg"], "frac_coords": [[0.500, 0.500, 0.500], [0.500, 0.500, 0.000], [0.000, 0.000, 0.759], [0.000, 0.000, 0.241]], "m_tot_mub_per_fu": 0.1, "formation_enthalpy_0k_ev_per_atom": -0.4946, "dos_at_fermi_per_ev_cell": 3.59}


No. 6
{"formula": "Y3TmHg4", "functional": "PBE", "state": "optimized geometry", "lattice": [[-2.774, 1.501, -1.954], [1.618, -1.110, -3.149], [-7.461, -12.874, 0.704]], "species": ["Y", "Y", "Y", "Tm", "Hg", "Hg", "Hg", "Hg"], "frac_coords": [[0.500, 0.500, 0.248], [0.500, 0.500, 0.500], [0.500, 0.500, 0.752], [0.500, 0.500, 0.000], [0.000, 0.000, 0.880], [0.000, 0.000, 0.120], [0.000, 0.000, 0.375], [0.000, 0.000, 0.625]], "m_tot_mub_per_fu": 0.0, "formation_enthalpy_0k_ev_per_atom": -0.5018, "dos_at_fermi_per_ev_cell": 7.79}


No. 7
{"formula": "YTm2Hg4", "functional": "PBE", "state": "optimized geometry", "lattice": [[-1.413, -3.203, -5.234], [4.893, 3.792, -1.154], [1.450, -4.066, 4.584]], "species": ["Y", "Tm", "Tm", "Hg", "Hg", "Hg", "Hg"], "frac_coords": [[0.000, 0.000, 0.000], [0.500, 0.500, 0.000], [0.500, 0.000, 0.500], [0.500, 0.000, 0.000], [0.500, 0.500, 0.500], [0.000, 0.000, 0.500], [0.000, 0.500, 0.000]], "m_tot_mub_per_fu": 0.0, "formation_enthalpy_0k_ev_per_atom": -0.4026, "dos_at_fermi_per_ev_cell": 2.60}


No. 8
{"formula": "YTmHg2", "functional": "PBE", "state": "optimized geometry", "lattice": [[-4.150, 0.179, -3.186], [-3.072, -4.205, -0.536], [-4.838, 0.020, 2.001]], "species": ["Y", "Tm", "Hg", "Hg"], "frac_coords": [[0.000, 0.000, 0.000], [0.500, 0.500, 0.500], [0.250, 0.250, 0.250], [0.750, 0.750, 0.750]], "m_tot_mub_per_fu": 0.0, "formation_enthalpy_0k_ev_per_atom": -0.4909, "dos_at_fermi_per_ev_cell": 3.61}